Material: Zn3Pt2
Method: DFT, GGA-PBEsol
State: relaxed

Cell: 5.0187 5.0187 6.8918 Å, 100.63 100.63 119.55°
Positions (direct):
Pt 0.2080 0.6567 0.1010
Pt 0.5557 0.1069 0.8990
Pt 0.3569 0.3057 0.3990
Pt 0.9067 0.9580 0.6010
Zn 0.7314 0.6442 0.2043
Zn 0.4398 0.5271 0.7957
Zn 0.7771 0.1898 0.2957
Zn 0.8942 0.4814 0.7043
Zn 0.0651 0.0651 0.0000
Zn 0.3151 0.8151 0.5000

V: 14.049 A^3/atom
Fermi-level density of states: 3.0 states/eV/cell
M_tot: 0.00 μB per formula unit
Electronic total energy: -4.175 eV/atom